# UCoPbO6

Crystalline UCoPbO6 at its relaxed geometry (PBE with a Hubbard U, the Alexandria database).

* SG: No. 149
* volume: 124.36 Å³/cell
* final energy: -66.3 eV per cell

Cell and atoms, written as POSCAR:
```
UCoPbO6
1.0
-4.160 -3.098 0.925
-0.329 -2.689 4.519
-2.477 3.979 2.188
U O Co Pb
1 6 1 1
direct
0.333 0.333 0.500 U
0.980 0.646 0.713 O
0.980 0.374 0.287 O
0.646 0.980 0.287 O
0.374 0.980 0.713 O
0.646 0.374 0.713 O
0.374 0.646 0.287 O
0.667 0.667 0.500 Co
0.000 0.000 0.000 Pb
```